! MnCrSe2N, relaxed, DFT GGA-PBEsol; values from VASP
&SYSTEM
  ibrav = 0, nat = 5, ntyp = 4
/
ATOMIC_SPECIES
Se 78.96 Se.upf
Cr 52.00 Cr.upf
N 14.01 N.upf
Mn 54.94 Mn.upf
CELL_PARAMETERS angstrom
3.480 0.000 0.000
0.000 4.890 0.000
0.000 0.000 4.890
ATOMIC_POSITIONS angstrom
Se 0.000 0.000 2.445
Se 0.000 2.445 0.000
Cr 0.000 0.000 0.000
N 1.740 0.000 0.000
Mn 1.740 2.445 2.445
! E: -7.069 eV/atom
! Total moment: 1.16 μB/atom



! MnNb2Cr, relaxed, DFT GGA-PBEsol; values from VASP
&SYSTEM
  ibrav = 0, nat = 4, ntyp = 3
/
ATOMIC_SPECIES
Mn 54.94 Mn.upf
Nb 92.91 Nb.upf
Cr 52.00 Cr.upf
CELL_PARAMETERS angstrom
4.316 0.000 0.000
2.158 3.737 0.000
2.158 1.246 3.524
ATOMIC_POSITIONS angstrom
Mn 4.316 2.492 1.762
Nb 6.474 3.737 2.643
Nb 2.158 1.246 0.881
Cr 0.000 0.000 0.000
! ΔE_f: -0.25 kcal/mol of atoms
! Total moment: 0.00 μB/atom



! MnNbCrS2, relaxed, DFT GGA-PBEsol; values from VASP
&SYSTEM
  ibrav = 0, nat = 5, ntyp = 4
/
ATOMIC_SPECIES
S 32.06 S.upf
Nb 92.91 Nb.upf
Cr 52.00 Cr.upf
Mn 54.94 Mn.upf
CELL_PARAMETERS angstrom
4.693 0.000 0.000
0.000 4.693 0.000
0.000 0.000 4.922
ATOMIC_POSITIONS angstrom
S 2.347 0.000 0.000
S 0.000 2.347 0.000
Nb 0.000 0.000 0.000
Cr 0.000 0.000 2.461
Mn 2.347 2.347 2.461
! E: -7.162 eV/atom
! Total moment: 1.68 μB/atom



! Nd2MnCrO6, relaxed, DFT GGA-PBEsol; values from VASP
&SYSTEM
  ibrav = 0, nat = 20, ntyp = 4
/
ATOMIC_SPECIES
Nd 144.24 Nd.upf
Cr 52.00 Cr.upf
O 16.00 O.upf
Mn 54.94 Mn.upf
CELL_PARAMETERS angstrom
-0.124 -3.675 3.991
5.120 -1.781 -1.480
3.098 4.971 4.735
ATOMIC_POSITIONS angstrom
Nd 7.029 -1.579 6.093
Nd 3.565 -1.539 2.302
Nd 4.529 1.055 4.944
Nd 1.065 1.094 1.153
Cr 4.109 1.595 1.627
Cr -0.062 -1.838 1.996
O 2.657 -0.596 5.446
O 4.197 -1.965 -0.133
O 2.897 0.663 2.875
O 5.197 -1.148 4.371
O 3.096 -2.984 4.108
O 1.589 -1.390 0.962
O 6.505 0.905 6.284
O 4.998 2.499 3.138
O 3.896 1.480 7.379
O 5.437 0.111 1.800
O 2.375 2.150 5.154
O 5.718 -2.635 2.092
Mn 2.560 -0.890 -0.740
Mn 1.487 0.648 4.363
! E: -8.838 eV/atom
! Total moment: 0.70 μB/atom



! MnCrNi2, relaxed, DFT GGA-PBEsol; values from VASP
&SYSTEM
  ibrav = 0, nat = 4, ntyp = 3
/
ATOMIC_SPECIES
Mn 54.94 Mn.upf
Cr 52.00 Cr.upf
Ni 58.69 Ni.upf
CELL_PARAMETERS angstrom
-0.370 -2.262 -0.844
3.561 -0.622 0.107
-0.420 -1.628 4.548
ATOMIC_POSITIONS angstrom
Mn 1.385 -2.256 1.906
Cr 1.595 -1.442 -0.369
Ni -0.104 -0.403 1.125
Ni -0.316 -1.225 3.423
! ΔE_f: 0.86 kcal/mol of atoms
! Total moment: 0.50 μB/atom



! MnCrNi6, relaxed, DFT GGA-PBEsol; values from VASP
&SYSTEM
  ibrav = 0, nat = 32, ntyp = 3
/
ATOMIC_SPECIES
Cr 52.00 Cr.upf
Mn 54.94 Mn.upf
Ni 58.69 Ni.upf
CELL_PARAMETERS angstrom
-3.274 1.759 4.771
-3.416 -3.405 -3.648
2.816 -8.095 4.917
ATOMIC_POSITIONS angstrom
Cr -1.973 -6.163 0.913
Cr 2.118 -6.088 3.698
Cr 0.698 -2.007 1.219
Cr -1.901 -3.578 5.127
Mn -1.231 -6.900 4.253
Mn -3.381 -2.109 -1.535
Mn -2.643 -2.841 1.787
Mn -3.310 0.463 2.658
Ni -1.277 -8.168 2.119
Ni 0.818 -6.837 5.623
Ni -0.583 -2.806 3.186
Ni -0.619 -4.103 1.072
Ni -1.286 -0.788 1.949
Ni -3.255 -5.638 4.968
Ni -3.345 -0.823 0.561
Ni -1.937 -4.870 3.020
Ni 0.000 0.000 0.000
Ni -2.597 -1.572 3.921
Ni 0.783 -8.124 3.526
Ni -4.657 -1.617 2.514
Ni -1.205 -5.572 6.351
Ni -2.669 -4.168 -0.311
Ni 1.408 -4.048 2.459
Ni 0.114 -4.809 4.403
Ni -4.692 -2.903 0.417
Ni -3.952 -3.635 3.751
Ni -2.552 -7.667 6.189
Ni -3.291 -6.934 2.854
Ni 0.078 -6.106 2.289
Ni -1.322 -2.074 -0.149
Ni -3.988 -4.932 1.637
Ni -2.588 -8.953 4.091
! ΔE_f: -0.82 kcal/mol of atoms
! Total moment: 0.72 μB/atom